DFT (PBE-GGA) results for a relaxed structure of HgP3H. Values from VASP.

VASP energy, eV per cell: -14.993
Density of states at the Fermi level, states/eV/cell: 2.87
SG: Pm-3m

```
&SYSTEM
  ibrav = 0, nat = 5, ntyp = 3
/
ATOMIC_SPECIES
P 30.97 P.upf
Hg 200.59 Hg.upf
H 1.01 H.upf
CELL_PARAMETERS angstrom
-0.258 0.909 4.099
-0.764 -4.048 0.850
4.128 -0.692 0.413
ATOMIC_POSITIONS crystal
P 0.000 0.500 0.000
P 0.000 0.000 0.500
P 0.500 0.000 0.000
Hg 0.500 0.500 0.500
H 0.000 0.000 0.000
```